(1)
The following is a DFT calculation (PBE) of an optimized crystal structure of NiMo2OsBr.

Cell and atoms, written as CIF:
```
data_NiMo2OsBr
_chemical_formula_sum 'Ni1 Mo2 Os1 Br1'
_cell_length_a 4.571
_cell_length_b 4.571
_cell_length_c 4.547
_cell_angle_alpha 90.00
_cell_angle_beta 90.00
_cell_angle_gamma 90.00
_symmetry_space_group_name_H-M 'P 4/m m m'
_symmetry_Int_Tables_number 123
_symmetry_space_group_name_Hall '-P 4 2'
loop_
_atom_site_label
_atom_site_type_symbol
_atom_site_fract_x
_atom_site_fract_y
_atom_site_fract_z
Ni1 Ni 0.000 0.000 0.000
Mo1 Mo 0.000 0.500 0.000
Os1 Os 0.000 0.000 0.500
Br1 Br 0.500 0.500 0.500
```

Properties
Density = 9.10 g/cm3
Formation energy without anion corrections = 890 kJ/mol of formula units

(2)
The following is a DFT calculation (PBE) of an optimized crystal structure of Re2NiMoBr.

Cell and atoms, written as CIF:
```
data_Re2NiMoBr
_chemical_formula_sum 'Re2 Ni1 Mo1 Br1'
_cell_length_a 4.525
_cell_length_b 4.525
_cell_length_c 4.557
_cell_angle_alpha 90.00
_cell_angle_beta 90.00
_cell_angle_gamma 90.00
_symmetry_space_group_name_H-M 'P 4/m m m'
_symmetry_Int_Tables_number 123
_symmetry_space_group_name_Hall '-P 4 2'
loop_
_atom_site_label
_atom_site_type_symbol
_atom_site_fract_x
_atom_site_fract_y
_atom_site_fract_z
Re1 Re 0.000 0.500 0.000
Ni1 Ni 0.000 0.000 0.000
Mo1 Mo 0.000 0.000 0.500
Br1 Br 0.500 0.500 0.500
```

Properties
Density = 10.80 g/cm3
Formation energy without anion corrections = 1004 kJ/mol of formula units

(3)
The following is a DFT calculation (PBE) of an optimized crystal structure of ScNi2MoBr.

Cell and atoms, written as CIF:
```
data_ScNi2MoBr
_chemical_formula_sum 'Sc1 Ni2 Mo1 Br1'
_cell_length_a 4.548
_cell_length_b 4.548
_cell_length_c 4.861
_cell_angle_alpha 90.00
_cell_angle_beta 90.00
_cell_angle_gamma 90.00
_symmetry_space_group_name_H-M 'P 4/m m m'
_symmetry_Int_Tables_number 123
_symmetry_space_group_name_Hall '-P 4 2'
loop_
_atom_site_label
_atom_site_type_symbol
_atom_site_fract_x
_atom_site_fract_y
_atom_site_fract_z
Sc1 Sc 0.000 0.000 0.000
Ni1 Ni 0.000 0.500 0.500
Mo1 Mo 0.500 0.500 0.500
Br1 Br 0.500 0.500 0.000
```

Properties
Density = 5.58 g/cm3
Formation energy without anion corrections = 341 kJ/mol of formula units

(4)
The following is a DFT calculation (PBE) of an optimized crystal structure of Ni2MoSeBr.

Cell and atoms, written as CIF:
```
data_Ni2MoSeBr
_chemical_formula_sum 'Ni2 Mo1 Se1 Br1'
_cell_length_a 4.376
_cell_length_b 4.376
_cell_length_c 5.135
_cell_angle_alpha 90.00
_cell_angle_beta 90.00
_cell_angle_gamma 90.00
_symmetry_space_group_name_H-M 'P 4/m m m'
_symmetry_Int_Tables_number 123
_symmetry_space_group_name_Hall '-P 4 2'
loop_
_atom_site_label
_atom_site_type_symbol
_atom_site_fract_x
_atom_site_fract_y
_atom_site_fract_z
Ni1 Ni 0.000 0.500 0.000
Mo1 Mo 0.000 0.000 0.500
Se1 Se 0.000 0.000 0.000
Br1 Br 0.500 0.500 0.500
```

Properties
Density = 6.29 g/cm3
Formation energy without anion corrections = 351 kJ/mol of formula units

(5)
The following is a DFT calculation (PBE) of an optimized crystal structure of NiMoSeBr2.

Cell and atoms, written as CIF:
```
data_NiMoSeBr2
_chemical_formula_sum 'Ni1 Mo1 Se1 Br2'
_cell_length_a 4.772
_cell_length_b 4.772
_cell_length_c 4.991
_cell_angle_alpha 90.00
_cell_angle_beta 90.00
_cell_angle_gamma 90.00
_symmetry_space_group_name_H-M 'P 4/m m m'
_symmetry_Int_Tables_number 123
_symmetry_space_group_name_Hall '-P 4 2'
loop_
_atom_site_label
_atom_site_type_symbol
_atom_site_fract_x
_atom_site_fract_y
_atom_site_fract_z
Ni1 Ni 0.000 0.000 0.000
Mo1 Mo 0.500 0.500 0.500
Se1 Se 0.000 0.000 0.500
Br1 Br 0.000 0.500 0.000
```

Properties
Density = 5.75 g/cm3
Formation energy without anion corrections = 313 kJ/mol of formula units
Distance to the lowest polymorph of the same formula = 0.0 meV/atom

(6)
The following is a DFT calculation (PBE) of an optimized crystal structure of Tc2NiMoBr.

Cell and atoms, written as CIF:
```
data_Tc2NiMoBr
_chemical_formula_sum 'Tc2 Ni1 Mo1 Br1'
_cell_length_a 4.791
_cell_length_b 4.791
_cell_length_c 4.613
_cell_angle_alpha 90.00
_cell_angle_beta 90.00
_cell_angle_gamma 90.00
_symmetry_space_group_name_H-M 'P 4/m m m'
_symmetry_Int_Tables_number 123
_symmetry_space_group_name_Hall '-P 4 2'
loop_
_atom_site_label
_atom_site_type_symbol
_atom_site_fract_x
_atom_site_fract_y
_atom_site_fract_z
Tc1 Tc 0.000 0.500 0.000
Ni1 Ni 0.000 0.000 0.500
Mo1 Mo 0.000 0.000 0.000
Br1 Br 0.500 0.500 0.500
```

Properties
Density = 6.75 g/cm3
Formation energy without anion corrections = 795 kJ/mol of formula units

(7)
The following is a DFT calculation (PBE) of an optimized crystal structure of NiMo2WBr.

Cell and atoms, written as CIF:
```
data_NiMo2WBr
_chemical_formula_sum 'Ni1 Mo2 W1 Br1'
_cell_length_a 4.633
_cell_length_b 4.633
_cell_length_c 4.235
_cell_angle_alpha 90.00
_cell_angle_beta 90.00
_cell_angle_gamma 90.00
_symmetry_space_group_name_H-M 'P 4/m m m'
_symmetry_Int_Tables_number 123
_symmetry_space_group_name_Hall '-P 4 2'
loop_
_atom_site_label
_atom_site_type_symbol
_atom_site_fract_x
_atom_site_fract_y
_atom_site_fract_z
Ni1 Ni 0.000 0.000 0.000
Mo1 Mo 0.000 0.500 0.000
W1 W 0.500 0.500 0.500
Br1 Br 0.000 0.000 0.500
```

Properties
Density = 9.40 g/cm3
Formation energy without anion corrections = 932 kJ/mol of formula units

(8)
The following is a DFT calculation (PBE) of an optimized crystal structure of ZrNiMo2Br.

Cell and atoms, written as CIF:
```
data_ZrNiMo2Br
_chemical_formula_sum 'Zr1 Ni1 Mo2 Br1'
_cell_length_a 4.567
_cell_length_b 4.567
_cell_length_c 4.917
_cell_angle_alpha 90.00
_cell_angle_beta 90.00
_cell_angle_gamma 90.00
_symmetry_space_group_name_H-M 'P 4/m m m'
_symmetry_Int_Tables_number 123
_symmetry_space_group_name_Hall '-P 4 2'
loop_
_atom_site_label
_atom_site_type_symbol
_atom_site_fract_x
_atom_site_fract_y
_atom_site_fract_z
Zr1 Zr 0.000 0.000 0.000
Ni1 Ni 0.000 0.000 0.500
Mo1 Mo 0.000 0.500 0.500
Br1 Br 0.500 0.500 0.000
```

Properties
Density = 6.83 g/cm3
Formation energy without anion corrections = 526 kJ/mol of formula units

What is the formation energy without anion corrections in the eighth record?
526 kJ/mol of formula units

Which value of formation energy without anion corrections does entry 5 give?
313 kJ/mol of formula units

The highest density belongs to which entry?
Re2NiMoBr

What is the density in the first record?
9.10 g/cm3